A geometry-optimized Tb2GdMg3Al2Tl structure. Source: the Open Quantum Materials Database, functional GGA-PBE.

Unit cell a=4.604 b=7.452 c=7.452 alpha=120.09 beta=90.00 gamma=90.00
Sites, in units of the cell vectors:
1 Gd 0.000 0.435 0.435
2 Mg 0.500 0.753 0.753
3 Tl 0.000 0.999 0.999
4 Al 0.500 0.667 0.333
5 Tb 0.000 0.565 0.000
6 Mg 0.500 0.000 0.248
7 Tb 0.000 0.000 0.565
8 Mg 0.500 0.248 0.000
9 Al 0.500 0.333 0.667

Summary:
VASP energy in Ry per atom: -0.2561
Space-group type: Amm2 (38)